# 1
The following is a PBE calculation of a geometry-optimized TcOsC2 structure, from Alexandria.

Cell lengths 4.616, 4.616, 5.668 Å; angles 65.97, 65.97, 90.00 degrees
Site moments in Bohr magnetons follow the coordinates.
Sites, in units of the cell vectors:
C (0.632, 0.125, 0.250)  -0.03
C (0.118, 0.625, 0.250)  -0.03
C (0.375, 0.368, 0.750)  -0.03
C (0.875, 0.882, 0.750)  -0.03
Os (0.000, 0.000, 0.000)  0.22
Os (0.750, 0.250, 0.500)  0.21
Tc (0.500, 0.500, 0.000)  0.80
Tc (0.250, 0.750, 0.500)  0.80

Calculated values
ΔE to the lowest computed polymorph: 0.000 eV per atom
Fermi-level density of states: 5.08 states/eV per cell

***

# 2
The following is a PBE calculation of a geometry-optimized MgZrSe2N structure, from Alexandria.

Cell lengths 5.026, 5.026, 3.853 Å; angles 90.00, 90.00, 90.00 degrees
Site moments in Bohr magnetons follow the coordinates.
Sites, in units of the cell vectors:
Mg (0.000, 0.000, 0.000)  -0.01
Se (0.000, 0.500, 0.000)  0.14
Se (0.500, 0.000, 0.000)  0.14
Zr (0.500, 0.500, 0.500)  -0.46
N (0.000, 0.000, 0.500)  0.95

Calculated values
Formation energy from raw total energies: 0.1545 eV per atom
ΔE to the lowest computed polymorph: 0.521 eV per atom
Fermi-level density of states: 2.21 states/eV per cell

***

# 3
The following is a PBE calculation of a geometry-optimized RuW4 structure, from Alexandria.

Cell lengths 4.625, 4.625, 4.625 Å; angles 90.00, 90.00, 90.00 degrees
Sites, in units of the cell vectors:
Ru (0.500, 0.500, 0.500)
W (0.000, 0.000, 0.000)
W (0.500, 0.000, 0.500)
W (0.000, 0.500, 0.500)
W (0.500, 0.500, 0.000)

Calculated values
ΔE to the lowest computed polymorph: 2.002 eV per atom
Fermi-level density of states: 5.02 states/eV per cell

***

# 4
The following is a PBE calculation of a geometry-optimized PrEr2S structure, from Alexandria.

Cell lengths 3.702, 3.702, 9.641 Å; angles 78.88, 78.88, 59.97 degrees
Sites, in units of the cell vectors:
Pr (0.500, 0.500, 0.500)
Er (0.059, 0.059, 0.822)
Er (0.274, 0.274, 0.178)
S (0.667, 0.667, 0.000)

Calculated values
Formation energy from raw total energies: -0.9370 eV per atom
ΔE to the lowest computed polymorph: 0.000 eV per atom
Fermi-level density of states: 4.18 states/eV per cell